[1]
Entry from Alexandria: a relaxed LaNbFe2Cl crystal (PBE).

Unit cell a=4.4955 b=4.4955 c=6.1887 alpha=90.00 beta=90.00 gamma=90.00
Closest atoms and distances in Å follow each position.
Fractional coordinates of all 5 atoms:
La (0.0000, 0.0000, 0.0000)  2 Nb 3.09, 4 Cl 3.18
Nb (0.0000, 0.0000, 0.5000)  4 Fe 2.25
Fe (0.0000, 0.5000, 0.5000)  2 Nb 2.25
Fe (0.5000, 0.0000, 0.5000)  2 Nb 2.25
Cl (0.5000, 0.5000, 0.0000)  4 La 3.18

Computed properties:
Electronic total energy ... -30.48 eV for the cell shown
Total magnetic moment ... 3.7 μB/f.u.
V ... 25.0 Å³/atom

---

[2]
Entry from Alexandria: a relaxed LaPr6Mg crystal (PBE).

Unit cell a=6.5958 b=6.5958 c=6.5958 alpha=97.44 beta=97.44 gamma=97.44
Closest atoms and distances in Å follow each position.
Fractional coordinates of all 8 atoms:
La (0.0000, 0.0000, 0.0000)  12 Pr 3.61-3.83
Pr (0.0377, 0.2662, 0.5584)  1 Mg 3.33, 6 Pr 3.36-3.69, 1 La 3.61
Pr (0.2662, 0.5584, 0.0377)  1 Mg 3.33, 6 Pr 3.36-3.69, 1 La 3.61
Pr (0.4416, 0.9623, 0.7338)  1 Mg 3.33, 6 Pr 3.36-3.69, 1 La 3.61
Pr (0.5584, 0.0377, 0.2662)  1 Mg 3.33, 6 Pr 3.36-3.69, 1 La 3.61
Pr (0.7338, 0.4416, 0.9623)  1 Mg 3.33, 6 Pr 3.36-3.69, 1 La 3.61
Pr (0.9623, 0.7338, 0.4416)  1 Mg 3.33, 6 Pr 3.36-3.69, 1 La 3.61
Mg (0.5000, 0.5000, 0.5000)  6 Pr 3.33

Computed properties:
Electronic total energy ... -34.61 eV for the cell shown
Total magnetic moment ... 0.0 μB/f.u.
Offset from the most stable computed form ... 8 meV per atom
V ... 34.9 Å³/atom

---

> Among the records above, which one has the highest total magnetic moment?

LaNbFe2Cl